No. 1
CeY3Pu2P6 after structural relaxation, computed with PBE-GGA.

Unit cell a=6.971 b=6.971 c=6.947 alpha=99.63 beta=99.63 gamma=119.99
Site moments in Bohr magnetons follow the coordinates.
Fractional positions:
1 Ce 0.000 0.000 0.000  -0.47
2 Y 0.166 0.834 0.500  -0.02
3 Y 0.834 0.166 0.500  -0.02
4 Y 0.500 0.500 0.500  -0.02
5 Pu 0.333 0.667 0.000  -4.96
6 Pu 0.667 0.333 0.000  -4.96
7 P 0.917 0.581 0.753  0.07
8 P 0.745 0.745 0.247  0.07
9 P 0.083 0.419 0.247  0.07
10 P 0.581 0.917 0.753  0.07
11 P 0.255 0.255 0.753  0.07
12 P 0.419 0.083 0.247  0.07

Properties
**M_tot**: 10.604 Bohr magnetons per cell
**ρ**: 6.5 g/cm³
**E**: -8.652 eV per atom
**Energy of formation**: -17.38 eV/f.u.



No. 2
Ce3YPu2P6 after structural relaxation, computed with PBE-GGA.

Unit cell a=7.014 b=7.014 c=6.993 alpha=99.62 beta=99.62 gamma=120.01
Site moments in Bohr magnetons follow the coordinates.
Fractional positions:
1 Ce 0.166 0.834 0.500  0.50
2 Ce 0.834 0.166 0.500  0.50
3 Ce 0.500 0.500 0.500  0.50
4 Y 0.000 0.000 0.000  0.03
5 Pu 0.333 0.667 0.000  4.99
6 Pu 0.667 0.333 0.000  4.99
7 P 0.918 0.582 0.755  -0.07
8 P 0.746 0.746 0.245  -0.07
9 P 0.082 0.418 0.245  -0.07
10 P 0.582 0.918 0.755  -0.07
11 P 0.254 0.254 0.755  -0.07
12 P 0.418 0.082 0.245  -0.07

Properties
**M_tot**: 11.921 Bohr magnetons per cell
**ρ**: 7.0 g/cm³
**E**: -8.525 eV per atom
**Energy of formation**: -16.91 eV/f.u.



No. 3
CePu2ZrP4 after structural relaxation, computed with PBE-GGA.

Unit cell a=3.953 b=6.875 c=6.806 alpha=109.36 beta=90.00 gamma=90.00
Site moments in Bohr magnetons follow the coordinates.
Fractional positions:
1 Ce 0.000 0.000 0.000  0.41
2 Pu 0.500 0.000 0.500  5.08
3 Pu 0.000 0.500 0.500  4.93
4 Zr 0.500 0.500 0.000  0.05
5 P 0.500 0.262 0.249  -0.08
6 P 0.500 0.738 0.751  -0.08
7 P 0.000 0.263 0.757  -0.07
8 P 0.000 0.737 0.243  -0.07

Properties
**M_tot**: 10.791 Bohr magnetons per cell
**ρ**: 8.0 g/cm³
**E**: -9.408 eV per atom
**Energy of formation**: -10.48 eV/f.u.



No. 4
Ce3PuZr2P6 after structural relaxation, computed with PBE-GGA.

Unit cell a=6.821 b=6.821 c=6.847 alpha=99.56 beta=99.56 gamma=120.02
Site moments in Bohr magnetons follow the coordinates.
Fractional positions:
1 Ce 0.165 0.835 0.500  0.17
2 Ce 0.835 0.165 0.500  0.17
3 Ce 0.500 0.500 0.500  0.20
4 Pu 0.000 0.000 0.000  4.93
5 Zr 0.333 0.667 0.000  0.02
6 Zr 0.667 0.333 0.000  0.02
7 P 0.922 0.582 0.765  -0.03
8 P 0.737 0.737 0.232  -0.03
9 P 0.078 0.418 0.235  -0.03
10 P 0.582 0.922 0.765  -0.03
11 P 0.263 0.263 0.768  -0.03
12 P 0.418 0.078 0.235  -0.03

Properties
**M_tot**: 5.740 Bohr magnetons per cell
**ρ**: 6.6 g/cm³
**E**: -8.232 eV per atom
**Energy of formation**: -17.09 eV/f.u.